[1]
The following is a GGA-PBE calculation of a relaxed SiTcAu2 crystal, from the Alexandria database.

a = 8.895 Å, b = 8.895 Å, c = 8.895 Å
α = 18.89°, β = 18.89°, γ = 18.89°
Atoms (fractional coordinates):
Au1 0.004 0.004 0.004
Au2 0.241 0.241 0.241
Si1 0.495 0.495 0.495
Tc1 0.761 0.761 0.761

E_form (uncorrected), meV per atom: 67
N(E_F), states/eV per atom: 0.338
Magnetization, μB/f.u.: 0.00
Crystal system: trigonal

***

[2]
The following is a GGA-PBE calculation of a relaxed SiTcAu3 crystal, from the Alexandria database.

a = 4.715 Å, b = 4.715 Å, c = 4.715 Å
α = 90.00°, β = 90.00°, γ = 90.00°
Atoms (fractional coordinates):
Si1 0.000 0.000 0.000
Au1 0.000 0.500 0.000
Au2 0.000 0.000 0.500
Au3 0.500 0.000 0.000
Tc1 0.500 0.500 0.500

E_form (uncorrected), meV per atom: 818
N(E_F), states/eV per atom: 1.140
Magnetization, μB/f.u.: 3.87
Offset from the most stable computed form, meV/atom: 0
Crystal system: cubic